GGA-PBE YIn2Si, relaxed; space group = No. 216; final energy = -4.359 eV per atom; energy relative to the elements, uncorrected = -0.02 eV/atom; excess energy over the best structure of this formula in the dataset = 1.13 eV per formula unit
1.0
0.000 3.636 3.636
3.636 0.000 3.636
3.636 3.636 0.000
Y In Si
1 2 1
direct
0.000 0.000 0.000
0.250 0.250 0.250
0.500 0.500 0.500
0.750 0.750 0.750